First-principles (PBE) data for an optimized crystal structure of FeSiB, as listed in the Open Quantum Materials Database.

```
data_FeSiB
_chemical_formula_sum 'Fe4 Si4 B4'
_space_group_name_H-M_alt 'F -4 3 m'
_space_group_IT_number 216
_space_group_name_Hall 'F -4 2 3'
_cell_length_a 4.9256
_cell_length_b 4.9256
_cell_length_c 4.9256
_cell_angle_alpha 90.00
_cell_angle_beta 90.00
_cell_angle_gamma 90.00
loop_
_atom_site_label
_atom_site_type_symbol
_atom_site_fract_x
_atom_site_fract_y
_atom_site_fract_z
_atom_site_occupancy
Fe1 Fe 0.0000 0.0000 0.0000 1
Si1 Si 0.0000 0.0000 0.5000 1
B1 B 0.2500 0.2500 0.2500 1
```

The value obtained for the uncorrected energy is -81.6 eV per cell. As for the crystal system: cubic.


First-principles (PBE) data for an optimized crystal structure of Fe2SiB, as listed in the Open Quantum Materials Database.

```
data_Fe2SiB
_chemical_formula_sum 'Fe8 Si4 B4'
_space_group_name_H-M_alt 'P m -3 m'
_space_group_IT_number 221
_space_group_name_Hall '-P 4 2 3'
_cell_length_a 5.2586
_cell_length_b 5.2586
_cell_length_c 5.2586
_cell_angle_alpha 90.00
_cell_angle_beta 90.00
_cell_angle_gamma 90.00
loop_
_atom_site_label
_atom_site_type_symbol
_atom_site_fract_x
_atom_site_fract_y
_atom_site_fract_z
_atom_site_occupancy
Fe1 Fe 0.2380 0.2380 0.2380 1
Si1 Si 0.0000 0.5000 0.5000 1
Si2 Si 0.5000 0.5000 0.5000 1
B1 B 0.0000 0.0000 0.0000 1
B2 B 0.0000 0.0000 0.5000 1
```

The value obtained for the uncorrected energy is -118.5 eV per cell. As for the crystal system: cubic.


First-principles (PBE) data for an optimized crystal structure of FeSiB, as listed in the Open Quantum Materials Database.

```
data_FeSiB
_chemical_formula_sum 'Fe4 Si4 B4'
_space_group_name_H-M_alt 'F -4 3 m'
_space_group_IT_number 216
_space_group_name_Hall 'F -4 2 3'
_cell_length_a 5.0683
_cell_length_b 5.0683
_cell_length_c 5.0683
_cell_angle_alpha 90.00
_cell_angle_beta 90.00
_cell_angle_gamma 90.00
loop_
_atom_site_label
_atom_site_type_symbol
_atom_site_fract_x
_atom_site_fract_y
_atom_site_fract_z
_atom_site_occupancy
Fe1 Fe 0.0000 0.0000 0.0000 1
Si1 Si 0.2500 0.2500 0.2500 1
B1 B 0.2500 0.2500 0.7500 1
```

The value obtained for the uncorrected energy is -78.5 eV per cell. As for the crystal system: cubic.


First-principles (PBE) data for an optimized crystal structure of SmFe2SiB, as listed in the Open Quantum Materials Database.

```
data_SmFe2SiB
_chemical_formula_sum 'Sm2 Fe4 Si2 B2'
_space_group_name_H-M_alt 'I 4 m m'
_space_group_IT_number 107
_space_group_name_Hall 'I 4 -2'
_cell_length_a 3.8124
_cell_length_b 3.8124
_cell_length_c 9.7144
_cell_angle_alpha 90.00
_cell_angle_beta 90.00
_cell_angle_gamma 90.00
loop_
_atom_site_label
_atom_site_type_symbol
_atom_site_fract_x
_atom_site_fract_y
_atom_site_fract_z
_atom_site_occupancy
Sm1 Sm 0.0000 0.0000 0.0000 1
Fe1 Fe 0.0000 0.5000 0.2714 1
Si1 Si 0.0000 0.0000 0.6526 1
B1 B 0.0000 0.0000 0.3486 1
```

The value obtained for the uncorrected energy is -71.3 eV per cell. As for the crystal system: tetragonal.


First-principles (PBE) data for an optimized crystal structure of SmFeB, as listed in the Open Quantum Materials Database.

```
data_SmFeB
_chemical_formula_sum 'Sm4 Fe4 B4'
_space_group_name_H-M_alt 'F -4 3 m'
_space_group_IT_number 216
_space_group_name_Hall 'F -4 2 3'
_cell_length_a 6.2006
_cell_length_b 6.2006
_cell_length_c 6.2006
_cell_angle_alpha 90.00
_cell_angle_beta 90.00
_cell_angle_gamma 90.00
loop_
_atom_site_label
_atom_site_type_symbol
_atom_site_fract_x
_atom_site_fract_y
_atom_site_fract_z
_atom_site_occupancy
Sm1 Sm 0.0000 0.0000 0.0000 1
Fe1 Fe 0.2500 0.2500 0.2500 1
B1 B 0.2500 0.2500 0.7500 1
```

The value obtained for the uncorrected energy is -61.9 eV per cell. As for the crystal system: cubic.


First-principles (PBE) data for an optimized crystal structure of Sm2Fe17B3, as listed in the Open Quantum Materials Database.

```
data_Sm2Fe17B3
_chemical_formula_sum 'Sm6 Fe51 B9'
_space_group_name_H-M_alt 'R -3 m'
_space_group_IT_number 166
_space_group_name_Hall '-R 3 2"'
_cell_length_a 8.7792
_cell_length_b 8.7792
_cell_length_c 12.4857
_cell_angle_alpha 90.00
_cell_angle_beta 90.00
_cell_angle_gamma 120.00
loop_
_atom_site_label
_atom_site_type_symbol
_atom_site_fract_x
_atom_site_fract_y
_atom_site_fract_z
_atom_site_occupancy
Sm1 Sm 0.0000 0.0000 0.1560 1
Fe1 Fe 0.0000 0.0000 0.4045 1
Fe2 Fe 0.0000 0.2790 0.5000 1
Fe3 Fe 0.0000 0.5000 0.0000 1
Fe4 Fe 0.0095 0.5047 0.3421 1
B1 B 0.0000 0.5000 0.5000 1
```

The value obtained for the uncorrected energy is -515.9 eV per cell. As for the crystal system: trigonal.